VASP calculation (PBEsol) on an optimized crystal structure of KAl2P2H8O12F.

abc: 9.2773 9.7489 5.4836
angles: 90.00 90.00 90.00
Fractional coordinates of all 52 atoms:
K 0.0000 0.0000 0.0000
K 0.5000 0.5000 0.0000
Al 0.1428 0.3903 0.0376
Al 0.3572 0.8903 0.0376
Al 0.6428 0.1097 0.0376
Al 0.8572 0.6097 0.0376
P 0.1454 0.6756 0.7828
P 0.3546 0.1756 0.7828
P 0.6454 0.8244 0.7828
P 0.8546 0.3244 0.7828
H 0.0176 0.7274 0.3589
H 0.1508 0.2266 0.3907
H 0.2149 0.8799 0.4285
H 0.2253 0.5385 0.4033
H 0.2747 0.0385 0.4033
H 0.2851 0.3799 0.4285
H 0.3492 0.7266 0.3907
H 0.4824 0.2274 0.3589
H 0.5176 0.7726 0.3589
H 0.6508 0.2734 0.3907
H 0.7149 0.6201 0.4285
H 0.7253 0.9615 0.4033
H 0.7747 0.4615 0.4033
H 0.7851 0.1201 0.4285
H 0.8492 0.7734 0.3907
H 0.9824 0.2726 0.3589
O 0.0203 0.3241 0.8026
O 0.0733 0.2487 0.2677
O 0.1840 0.7071 0.5119
O 0.2029 0.7870 0.9548
O 0.2110 0.5355 0.8506
O 0.2368 0.9567 0.3126
O 0.2632 0.4567 0.3126
O 0.2890 0.0355 0.8506
O 0.2971 0.2870 0.9548
O 0.3160 0.2071 0.5119
O 0.4267 0.7487 0.2677
O 0.4797 0.8241 0.8026
O 0.5203 0.1759 0.8026
O 0.5733 0.2513 0.2677
O 0.6840 0.7929 0.5119
O 0.7029 0.7130 0.9548
O 0.7110 0.9645 0.8506
O 0.7368 0.5433 0.3126
O 0.7632 0.0433 0.3126
O 0.7890 0.4645 0.8506
O 0.7971 0.2130 0.9548
O 0.8160 0.2929 0.5119
O 0.9267 0.7513 0.2677
O 0.9797 0.6759 0.8026
F 0.0000 0.5000 0.1706
F 0.5000 0.0000 0.1706

calculated volume = 9.538 Å³ per atom
calculated total energy = -326.67 eV for the cell shown
magnetic moment = 0.0 Bohr magnetons per cell


VASP calculation (PBEsol) on an optimized crystal structure of Li3Al3P3H2O14F.

abc: 5.0311 7.0854 14.0529
angles: 91.01 93.05 106.48
Fractional coordinates of all 52 atoms:
Li 0.0000 0.0000 0.0000
Li 0.1429 0.6635 0.2858
Li 0.3290 0.3300 0.3353
Li 0.4794 0.9985 0.6165
Li 0.6666 0.6662 0.6669
Li 0.8117 0.3175 0.9488
Al 0.0724 0.3275 0.1423
Al 0.0768 0.3287 0.6412
Al 0.4046 0.6567 0.9750
Al 0.4076 0.6587 0.4772
Al 0.7393 0.9889 0.8097
Al 0.7430 0.9972 0.3077
P 0.0063 0.9359 0.5138
P 0.1398 0.7177 0.7657
P 0.3388 0.2663 0.8474
P 0.4717 0.0507 0.1010
P 0.6708 0.6004 0.1837
P 0.8053 0.3835 0.4341
H 0.1675 0.0731 0.2348
H 0.5024 0.4053 0.5687
H 0.8319 0.7350 0.9003
H 0.9764 0.5797 0.0497
O 0.0400 0.1713 0.8802
O 0.0448 0.1585 0.2463
O 0.0989 0.4947 0.0367
O 0.1053 0.4788 0.4035
O 0.1427 0.6613 0.8710
O 0.1589 0.1112 0.5819
O 0.1790 0.7894 0.5280
O 0.3037 0.1998 0.0862
O 0.3200 0.8749 0.0335
O 0.3249 0.3265 0.7443
O 0.3710 0.5126 0.2149
O 0.3793 0.4905 0.5802
O 0.4392 0.8131 0.7344
O 0.4708 0.9925 0.2066
O 0.4900 0.4401 0.9164
O 0.5120 0.1200 0.8610
O 0.6349 0.5310 0.4197
O 0.6516 0.2077 0.3671
O 0.6699 0.6542 0.0779
O 0.7075 0.8430 0.5469
O 0.7098 0.8200 0.9134
O 0.7717 0.1414 0.0704
O 0.8062 0.3252 0.5396
O 0.8249 0.7787 0.2493
O 0.8399 0.4523 0.1996
O 0.9675 0.8640 0.7514
O 0.9867 0.5417 0.6986
O 0.9929 0.9949 0.4104
F 0.4505 0.8185 0.3690
F 0.7840 0.1520 0.7021

calculated volume = 9.220 Å³ per atom
calculated total energy = -365.55 eV for the cell shown
magnetic moment = 0.0 Bohr magnetons per cell


VASP calculation (PBEsol) on an optimized crystal structure of MgAlH4O2F5.

abc: 7.0502 7.0502 7.0502
angles: 119.32 85.86 125.63
Fractional coordinates of all 26 atoms:
Mg 0.0000 0.0000 0.0000
Mg 0.5000 0.0000 0.5000
Al 0.5000 0.0000 0.0000
Al 0.5000 0.5000 0.5000
H 0.0242 0.5065 0.2976
H 0.0242 0.7266 0.5177
H 0.2911 0.2734 0.7976
H 0.2911 0.4935 0.0177
H 0.7089 0.5065 0.9823
H 0.7089 0.7266 0.2024
H 0.9758 0.2734 0.4823
H 0.9758 0.4935 0.7024
O 0.1324 0.7033 0.4291
O 0.2258 0.2967 0.9291
O 0.7742 0.7033 0.0709
O 0.8676 0.2967 0.5709
F 0.1838 0.2655 0.3339
F 0.1838 0.8500 0.9184
F 0.4295 0.6795 0.7500
F 0.4316 0.2655 0.5816
F 0.4316 0.8500 0.1661
F 0.5684 0.1500 0.8339
F 0.5684 0.7345 0.4184
F 0.5705 0.3205 0.2500
F 0.8162 0.1500 0.0816
F 0.8162 0.7345 0.6661

calculated volume = 9.110 Å³ per atom
calculated total energy = -141.02 eV for the cell shown
magnetic moment = 0.0 Bohr magnetons per cell


VASP calculation (PBEsol) on an optimized crystal structure of AlNiH16NO6F6.

abc: 12.3462 6.4426 12.6733
angles: 90.00 94.93 90.00
Fractional coordinates of all 124 atoms:
Al 0.0000 0.0000 0.0000
Al 0.0000 0.5000 0.5000
Al 0.5000 0.0000 0.0000
Al 0.5000 0.5000 0.5000
Ni 0.2310 0.0346 0.6939
Ni 0.2310 0.4654 0.1939
Ni 0.7690 0.5346 0.8061
Ni 0.7690 0.9654 0.3061
H 0.0256 0.1039 0.6351
H 0.0256 0.3961 0.1351
H 0.0370 0.6405 0.1241
H 0.0370 0.8595 0.6241
H 0.1257 0.2184 0.3060
H 0.1257 0.2816 0.8060
H 0.1430 0.0963 0.1959
H 0.1430 0.4037 0.6959
H 0.1544 0.6285 0.3616
H 0.1544 0.8715 0.8616
H 0.1652 0.1878 0.5067
H 0.1652 0.3122 0.0067
H 0.2308 0.6706 0.6122
H 0.2308 0.8294 0.1122
H 0.2720 0.5289 0.3976
H 0.2720 0.9711 0.8976
H 0.2851 0.2327 0.0355
H 0.2851 0.2673 0.5355
H 0.3031 0.0533 0.3176
H 0.3031 0.4467 0.8176
H 0.3122 0.0009 0.4469
H 0.3122 0.4991 0.9469
H 0.3550 0.7443 0.1099
H 0.3550 0.7557 0.6099
H 0.3793 0.6546 0.8649
H 0.3793 0.8454 0.3649
H 0.4232 0.0934 0.3937
H 0.4232 0.4066 0.8937
H 0.4315 0.0382 0.7799
H 0.4315 0.4618 0.2799
H 0.4327 0.2177 0.6892
H 0.4327 0.2823 0.1892
H 0.5673 0.7177 0.8108
H 0.5673 0.7823 0.3108
H 0.5685 0.5382 0.7201
H 0.5685 0.9618 0.2201
H 0.5768 0.5934 0.1063
H 0.5768 0.9066 0.6063
H 0.6207 0.1546 0.6351
H 0.6207 0.3454 0.1351
H 0.6450 0.2443 0.3901
H 0.6450 0.2557 0.8901
H 0.6878 0.5009 0.0531
H 0.6878 0.9991 0.5531
H 0.6969 0.5533 0.1824
H 0.6969 0.9467 0.6824
H 0.7149 0.7327 0.4645
H 0.7149 0.7673 0.9645
H 0.7280 0.0289 0.1024
H 0.7280 0.4711 0.6024
H 0.7692 0.1706 0.8878
H 0.7692 0.3294 0.3878
H 0.8348 0.6878 0.9933
H 0.8348 0.8122 0.4933
H 0.8456 0.1285 0.1384
H 0.8456 0.3715 0.6384
H 0.8570 0.5963 0.3041
H 0.8570 0.9037 0.8041
H 0.8743 0.7184 0.1940
H 0.8743 0.7816 0.6940
H 0.9630 0.1405 0.3759
H 0.9630 0.3595 0.8759
H 0.9744 0.6039 0.8649
H 0.9744 0.8961 0.3649
N 0.3556 0.5041 0.8797
N 0.3556 0.9959 0.3797
N 0.6444 0.0041 0.6203
N 0.6444 0.4959 0.1203
O 0.0681 0.5190 0.1639
O 0.0681 0.9810 0.6639
O 0.1788 0.1847 0.2543
O 0.1788 0.3153 0.7543
O 0.2281 0.5978 0.3380
O 0.2281 0.9022 0.8380
O 0.2366 0.1438 0.5435
O 0.2366 0.3562 0.0435
O 0.2884 0.7420 0.1494
O 0.2884 0.7580 0.6494
O 0.3859 0.1342 0.7331
O 0.3859 0.3658 0.2331
O 0.6141 0.6342 0.7669
O 0.6141 0.8658 0.2669
O 0.7116 0.2420 0.3506
O 0.7116 0.2580 0.8506
O 0.7634 0.6438 0.9565
O 0.7634 0.8562 0.4565
O 0.7719 0.0978 0.1620
O 0.7719 0.4022 0.6620
O 0.8212 0.6847 0.2457
O 0.8212 0.8153 0.7457
O 0.9319 0.0190 0.3361
O 0.9319 0.4810 0.8361
F 0.0451 0.6959 0.4110
F 0.0451 0.8041 0.9110
F 0.0682 0.2061 0.9294
F 0.0682 0.2939 0.4294
F 0.1209 0.5361 0.5892
F 0.1209 0.9639 0.0892
F 0.3560 0.0598 0.9913
F 0.3560 0.4402 0.4913
F 0.4719 0.7469 0.5603
F 0.4719 0.7531 0.0603
F 0.4833 0.6242 0.3685
F 0.4833 0.8758 0.8685
F 0.5167 0.1242 0.1315
F 0.5167 0.3758 0.6315
F 0.5281 0.2469 0.9397
F 0.5281 0.2531 0.4397
F 0.6440 0.5598 0.5087
F 0.6440 0.9402 0.0087
F 0.8791 0.0361 0.9108
F 0.8791 0.4639 0.4108
F 0.9318 0.7061 0.5706
F 0.9318 0.7939 0.0706
F 0.9549 0.1959 0.0890
F 0.9549 0.3041 0.5890

calculated volume = 8.099 Å³ per atom
calculated total energy = -638.49 eV for the cell shown
magnetic moment = 8.1 Bohr magnetons per cell


VASP calculation (PBEsol) on an optimized crystal structure of Al8P8H34N7O36F5.

abc: 9.4451 9.5501 9.9175
angles: 90.11 90.06 90.23
Fractional coordinates of all 98 atoms:
Al 0.0000 0.0000 0.0000
Al 0.0439 0.2106 0.4634
Al 0.2365 0.2651 0.9611
Al 0.2836 0.4736 0.5021
Al 0.5006 0.9721 0.2758
Al 0.5461 0.7681 0.8161
Al 0.7363 0.7080 0.3144
Al 0.7885 0.4929 0.7784
P 0.3118 0.2511 0.2795
P 0.3183 0.9511 0.9938
P 0.4675 0.4507 0.7824
P 0.4766 0.7493 0.4980
P 0.8132 0.7236 0.9988
P 0.8171 0.0286 0.2822
P 0.9665 0.5296 0.4962
P 0.9699 0.2184 0.7762
H 0.0401 0.4362 0.0978
H 0.0437 0.7569 0.3430
H 0.0615 0.7266 0.8567
H 0.0974 0.1785 0.1473
H 0.1285 0.9076 0.3882
H 0.1337 0.6400 0.7207
H 0.1493 0.8414 0.2283
H 0.1518 0.5739 0.8806
H 0.1842 0.2955 0.6486
H 0.2221 0.7566 0.3650
H 0.2401 0.0362 0.5974
H 0.2401 0.7217 0.8364
H 0.3292 0.0818 0.7453
H 0.3842 0.6180 0.1890
H 0.3892 0.4515 0.1287
H 0.3897 0.9493 0.6460
H 0.3948 0.1148 0.5857
H 0.4518 0.5838 0.0307
H 0.5381 0.5386 0.1792
H 0.5415 0.2118 0.9297
H 0.5627 0.2543 0.4148
H 0.5998 0.7967 0.1282
H 0.6350 0.0657 0.8854
H 0.6346 0.3429 0.5502
H 0.6461 0.1306 0.0465
H 0.6542 0.4062 0.3897
H 0.7210 0.2195 0.9131
H 0.7415 0.2589 0.4367
H 0.7756 0.9275 0.6747
H 0.7889 0.7720 0.6285
H 0.8275 0.8899 0.5085
H 0.8886 0.3511 0.0929
H 0.8893 0.5197 0.1473
H 0.9554 0.3937 0.2492
N 0.1366 0.8155 0.3291
N 0.1462 0.6655 0.8219
N 0.3391 0.0465 0.6455
N 0.4400 0.5492 0.1304
N 0.6360 0.1571 0.9454
N 0.6476 0.3152 0.4498
N 0.9430 0.4244 0.1482
O 0.0846 0.1721 0.0471
O 0.1217 0.5742 0.5275
O 0.1267 0.2629 0.7999
O 0.1549 0.2087 0.3013
O 0.1642 0.9024 0.0223
O 0.1966 0.3028 0.5484
O 0.3196 0.0911 0.9174
O 0.3377 0.2735 0.1277
O 0.3432 0.3938 0.3487
O 0.3659 0.6447 0.4405
O 0.3879 0.8406 0.9033
O 0.3915 0.4660 0.6479
O 0.3929 0.9646 0.1296
O 0.4008 0.3374 0.8711
O 0.4167 0.1428 0.3380
O 0.4472 0.8937 0.4315
O 0.4514 0.7718 0.6503
O 0.4704 0.5909 0.8593
O 0.5873 0.8017 0.2282
O 0.6222 0.4052 0.7501
O 0.6291 0.7017 0.4721
O 0.6576 0.7691 0.9753
O 0.6630 0.0725 0.2480
O 0.8149 0.8911 0.3670
O 0.8352 0.8661 0.6148
O 0.8391 0.7021 0.1506
O 0.8403 0.5800 0.9297
O 0.8666 0.3270 0.8394
O 0.8833 0.1450 0.3670
O 0.8899 0.5199 0.6320
O 0.8951 0.0036 0.1500
O 0.9011 0.6425 0.4060
O 0.9198 0.8289 0.9402
O 0.9389 0.0766 0.8453
O 0.9409 0.2056 0.6254
O 0.9642 0.3890 0.4205
F 0.1055 0.0333 0.4959
F 0.1752 0.4433 0.9943
F 0.6278 0.9365 0.7723
F 0.6782 0.5290 0.2753
F 0.6973 0.6697 0.7345

calculated volume = 9.128 Å³ per atom
calculated total energy = -625.14 eV for the cell shown
magnetic moment = 0.0 Bohr magnetons per cell


VASP calculation (PBEsol) on an optimized crystal structure of AlH15O6F6.

abc: 8.0782 8.0782 8.0782
angles: 74.63 74.63 74.63
Fractional coordinates of all 56 atoms:
Al 0.0000 0.0000 0.0000
Al 0.5000 0.5000 0.5000
H 0.0492 0.8167 0.7062
H 0.0775 0.2500 0.4225
H 0.1283 0.6313 0.1373
H 0.1313 0.6283 0.6373
H 0.1373 0.1283 0.6313
H 0.1833 0.2938 0.9508
H 0.2062 0.3167 0.5492
H 0.2500 0.4225 0.0775
H 0.2938 0.9508 0.1833
H 0.3167 0.5492 0.2062
H 0.3627 0.8687 0.3717
H 0.3687 0.8627 0.8717
H 0.3717 0.3627 0.8687
H 0.4225 0.0775 0.2500
H 0.4508 0.7938 0.6833
H 0.5492 0.2062 0.3167
H 0.5775 0.9225 0.7500
H 0.6283 0.6373 0.1313
H 0.6313 0.1373 0.1283
H 0.6373 0.1313 0.6283
H 0.6833 0.4508 0.7938
H 0.7062 0.0492 0.8167
H 0.7500 0.5775 0.9225
H 0.7938 0.6833 0.4508
H 0.8167 0.7062 0.0492
H 0.8627 0.8717 0.3687
H 0.8687 0.3717 0.3627
H 0.8717 0.3687 0.8627
H 0.9225 0.7500 0.5775
H 0.9508 0.1833 0.2938
O 0.0222 0.7151 0.6760
O 0.1760 0.2151 0.5222
O 0.2151 0.5222 0.1760
O 0.2849 0.3240 0.9778
O 0.3240 0.9778 0.2849
O 0.4778 0.8240 0.7849
O 0.5222 0.1760 0.2151
O 0.6760 0.0222 0.7151
O 0.7151 0.6760 0.0222
O 0.7849 0.4778 0.8240
O 0.8240 0.7849 0.4778
O 0.9778 0.2849 0.3240
F 0.0301 0.2252 0.9242
F 0.0758 0.9699 0.7748
F 0.2252 0.9242 0.0301
F 0.2748 0.4699 0.5758
F 0.4242 0.7252 0.5301
F 0.4699 0.5758 0.2748
F 0.5301 0.4242 0.7252
F 0.5758 0.2748 0.4699
F 0.7252 0.5301 0.4242
F 0.7748 0.0758 0.9699
F 0.9242 0.0301 0.2252
F 0.9699 0.7748 0.0758

calculated volume = 8.563 Å³ per atom
calculated total energy = -282.66 eV for the cell shown
magnetic moment = 0.0 Bohr magnetons per cell


Among the records above, which one has the highest calculated volume? KAl2P2H8O12F